1.
## Dy4Pb2C (PBE-GGA)

Data for a relaxed Dy4Pb2C crystal.

a b c (Å): 4.830 4.830 8.747
angles (deg): 106.03 106.03 90.00
Atoms (fractional coordinates):
C  0.000  0.000  0.000
Dy  0.843  0.843  0.686
Dy  0.157  0.157  0.314
Dy  0.500  0.000  0.000
Dy  0.000  0.500  0.000
Pb  0.358  0.358  0.715
Pb  0.642  0.642  0.285

Values from the calculation:
The value obtained for the energy above the most stable polymorph in this dataset is 0 meV per atom. The crystal system is tetragonal. The formation energy is -0.55 eV per atom.

=====

2.
## Pr2DyPbC (PBE-GGA)

Data for a relaxed Pr2DyPbC crystal.

a b c (Å): 4.934 5.188 5.188
angles (deg): 90.00 90.00 90.00
Atoms (fractional coordinates):
Pr  0.000  0.000  0.500
Pr  0.000  0.500  0.000
C  0.000  0.000  0.000
Dy  0.500  0.000  0.000
Pb  0.500  0.500  0.500

Values from the calculation:
The crystal system is tetragonal. The formation energy is -0.41 eV per atom.

=====

3.
## PrDy2PbC (PBE-GGA)

Data for a relaxed PrDy2PbC crystal.

a b c (Å): 5.177 4.937 4.937
angles (deg): 90.00 90.00 90.00
Atoms (fractional coordinates):
Dy  0.000  0.500  0.000
Dy  0.000  0.000  0.500
Pr  0.500  0.000  0.000
Pb  0.500  0.500  0.500
C  0.000  0.000  0.000

Values from the calculation:
The crystal system is tetragonal. The formation energy is -0.47 eV per atom.

=====

4.
## Dy2PuPbC (PBE-GGA)

Data for a relaxed Dy2PuPbC crystal.

a b c (Å): 4.812 4.964 4.964
angles (deg): 90.00 90.00 90.00
Atoms (fractional coordinates):
C  0.000  0.000  0.000
Pu  0.500  0.000  0.000
Pb  0.500  0.500  0.500
Dy  0.000  0.500  0.000
Dy  0.000  0.000  0.500

Values from the calculation:
The crystal system is tetragonal. The formation energy is -0.39 eV per atom.

=====

5.
## Dy2ScPbC (PBE-GGA)

Data for a relaxed Dy2ScPbC crystal.

a b c (Å): 4.602 4.918 4.918
angles (deg): 90.00 90.00 90.00
Atoms (fractional coordinates):
Dy  0.000  0.500  0.000
Dy  0.000  0.000  0.500
C  0.000  0.000  0.000
Pb  0.500  0.500  0.500
Sc  0.500  0.000  0.000

Values from the calculation:
The crystal system is tetragonal. The formation energy is -0.57 eV per atom.

=====

6.
## Dy3ScPb2C (PBE-GGA)

Data for a relaxed Dy3ScPb2C crystal.

a b c (Å): 4.592 4.805 8.690
angles (deg): 106.05 105.32 90.00
Atoms (fractional coordinates):
Pb  0.359  0.359  0.717
Pb  0.641  0.641  0.283
Dy  0.156  0.156  0.313
Dy  0.000  0.500  0.000
Dy  0.844  0.844  0.687
C  0.000  0.000  0.000
Sc  0.500  0.000  0.000

Values from the calculation:
The crystal system is orthorhombic. The formation energy is -0.61 eV per atom.

=====

7.
## Dy8Pb3CSe3 (PBE-GGA)

Data for a relaxed Dy8Pb3CSe3 crystal.

a b c (Å): 7.947 7.944 8.938
angles (deg): 116.37 90.00 120.02
Atoms (fractional coordinates):
Dy  0.261  0.523  0.285
Dy  0.211  0.421  0.691
Dy  0.789  0.019  0.309
Dy  0.789  0.579  0.309
Dy  0.739  0.477  0.715
Dy  0.771  0.981  0.691
Dy  0.211  0.981  0.691
Dy  0.229  0.019  0.309
Se  0.500  0.000  0.500
Se  0.500  0.500  0.500
Se  0.000  0.500  0.500
C  0.000  0.000  0.500
Pb  0.000  0.000  0.000
Pb  0.500  0.500  0.000
Pb  0.000  0.500  0.000

Values from the calculation:
The crystal system is trigonal.

=====

8.
## Dy8Pb4CSe3 (PBE-GGA)

Data for a relaxed Dy8Pb4CSe3 crystal.

a b c (Å): 7.869 9.046 7.889
angles (deg): 116.08 119.92 90.00
Atoms (fractional coordinates):
Dy  0.262  0.286  0.523
Dy  0.764  0.692  0.978
Dy  0.236  0.308  0.022
Dy  0.785  0.308  0.571
Dy  0.215  0.692  0.429
Dy  0.215  0.692  0.978
Dy  0.738  0.714  0.477
Dy  0.785  0.308  0.022
Pb  0.000  0.000  0.000
Pb  0.500  0.000  0.000
Pb  0.500  0.000  0.500
Pb  0.000  0.000  0.500
C  0.000  0.500  0.000
Se  0.000  0.500  0.500
Se  0.500  0.500  0.000
Se  0.500  0.500  0.500

Values from the calculation:
The crystal system is monoclinic.

=====

9.
## Dy4SiPbC (PBE-GGA)

Data for a relaxed Dy4SiPbC crystal.

a b c (Å): 6.717 6.724 8.499
angles (deg): 90.00 113.28 90.00
Atoms (fractional coordinates):
Dy  0.500  0.000  0.500
Dy  0.000  0.500  0.500
Dy  0.592  0.250  0.184
Dy  0.000  0.000  0.500
Dy  0.500  0.500  0.500
Dy  0.082  0.750  0.164
Dy  0.918  0.250  0.836
Dy  0.408  0.750  0.816
Si  0.884  0.750  0.768
Si  0.116  0.250  0.232
Pb  0.394  0.250  0.787
Pb  0.606  0.750  0.213
C  0.752  0.250  0.505
C  0.248  0.750  0.495

Values from the calculation:
The crystal system is orthorhombic.

=====

10.
## SmDy3Pb2C (PBE-GGA)

Data for a relaxed SmDy3Pb2C crystal.

a b c (Å): 4.931 4.844 8.778
angles (deg): 106.02 106.31 90.00
Atoms (fractional coordinates):
Pb  0.357  0.357  0.714
Pb  0.643  0.643  0.286
Dy  0.157  0.157  0.315
Dy  0.000  0.500  0.000
Dy  0.843  0.843  0.685
Sm  0.500  0.000  0.000
C  0.000  0.000  0.000

Values from the calculation:
The crystal system is orthorhombic. The formation energy is -0.49 eV per atom.

=====

The evaluated total energy for the records listed, in turn: -5.55; -5.83; -5.85; -7.68; -6.27; -5.86; -5.42; -5.40; -5.77; -5.52 eV per atom.